1.
A plane-wave DFT calculation with SCAN was carried out for a crystal of Fe3Co5 relaxed with PBEsol.

Cell and atoms, written as POSCAR:
```
Fe3Co5
1.0
-1.971 1.971 5.543
1.971 -1.971 5.543
1.971 1.971 -5.543
Fe Co
3 5
direct
0.000 0.000 0.000
0.125 0.625 0.500
0.375 0.875 0.500
0.251 0.251 0.000
0.500 0.500 0.000
0.625 0.125 0.500
0.749 0.749 0.000
0.875 0.375 0.500
```

## Properties
The final energy is -141.75 eV per cell. The density of states at the Fermi level comes out at 5.68 states/eV per cell. The value obtained for the volume is 86 Å³/cell. As for the formation energy: -0.105 eV per atom. The value obtained for the density is 8.9 g/cm³.



2.
A plane-wave DFT calculation with SCAN was carried out for a crystal of Pa3Sb4 relaxed with PBEsol.

Cell and atoms, written as POSCAR:
```
Pa3Sb4
1.0
-4.509 4.509 4.509
4.509 -4.509 4.509
4.509 4.509 -4.509
Pa Sb
6 8
direct
0.125 0.750 0.875
0.250 0.625 0.375
0.375 0.250 0.625
0.625 0.375 0.250
0.750 0.875 0.125
0.875 0.125 0.750
0.000 0.340 0.500
0.000 0.840 0.500
0.160 0.160 0.160
0.340 0.500 0.000
0.500 0.000 0.340
0.500 0.000 0.840
0.660 0.660 0.660
0.840 0.500 0.000
```

## Properties
The final energy is -902.98 eV per cell. The density of states at the Fermi level comes out at 17.97 states/eV per cell. The value obtained for the volume is 367 Å³/cell. The value obtained for the density is 10.7 g/cm³.



3.
A plane-wave DFT calculation with SCAN was carried out for a crystal of RuPt2Rh relaxed with PBEsol.

Cell and atoms, written as POSCAR:
```
RuPt2Rh
1.0
1.361 0.786 8.821
-1.361 0.786 8.821
0.000 -1.572 8.821
Ru Pt Rh
1 2 1
direct
0.000 0.000 0.000
0.251 0.251 0.251
0.749 0.749 0.749
0.500 0.500 0.500
```

## Properties
The final energy is -208.91 eV per cell. The energy above the most stable polymorph in this dataset is 65 meV per atom. The density of states at the Fermi level comes out at 4.69 states/eV per cell. The value obtained for the volume is 57 Å³/cell. As for the formation energy: 0.019 eV per atom. The value obtained for the density is 17.4 g/cm³.



4.
A plane-wave DFT calculation with SCAN was carried out for a crystal of Ba2IrBr relaxed with PBEsol.

Cell and atoms, written as POSCAR:
```
Ba2IrBr
1.0
4.565 0.000 0.000
0.000 4.565 0.000
0.000 0.000 6.332
Ba Ir Br
2 1 1
direct
0.000 0.000 0.000
0.500 0.500 0.468
0.500 0.500 0.016
0.000 0.000 0.501
```

## Properties
The final energy is -173.18 eV per cell. The energy above the most stable polymorph in this dataset is 113 meV per atom. The density of states at the Fermi level comes out at 0.97 states/eV per cell. The value obtained for the volume is 132 Å³/cell. The value obtained for the density is 6.9 g/cm³.